No. 1
Pr2MgInN | PBE | optimized geometry

Cell: 5.1510 5.1510 4.3972 Å, 90.00 90.00 90.00°
Atoms (fractional coordinates):
Pr1 0.0000 0.5000 0.0000
Pr2 0.5000 0.0000 0.0000
Mg1 0.0000 0.0000 0.5000
In1 0.5000 0.5000 0.5000
N1 0.0000 0.0000 0.0000

Summary:
Space group: P4/mmm, No. 123
D(E_F) (states/eV/cell): 1.2
Magnetic moment (μB per cell): 0.0
E_form (uncorrected) (eV/atom): -0.7064
Volume (Å³/cell): 116.67


No. 2
MgIn2ReN4 | PBE | optimized geometry

Cell: 4.7101 4.7101 6.5075 Å, 110.50 110.50 89.88°
Atoms (fractional coordinates):
Mg1 0.0000 0.0000 0.0000
In1 0.2454 0.7544 0.5002
In2 0.7544 0.2454 0.5002
Re1 0.4965 0.4965 0.9996
N1 0.1756 0.6226 0.8011
N2 0.3751 0.3751 0.2049
N3 0.6226 0.1756 0.8011
N4 0.8147 0.8147 0.1909

Summary:
Space group: Cm, No. 8
D(E_F) (states/eV/cell): 0.9
Magnetic moment (μB per cell): 0.0
E_form (uncorrected) (eV/atom): 0.0045
Volume (Å³/cell): 125.46


No. 3
MgInS2N | PBE | optimized geometry

Cell: 5.1419 5.1419 4.1694 Å, 90.00 90.00 90.00°
Atoms (fractional coordinates):
Mg1 0.0000 0.0000 0.0000
In1 0.5000 0.5000 0.5000
S1 0.0000 0.5000 0.5000
S2 0.5000 0.0000 0.5000
N1 0.5000 0.5000 0.0000

Summary:
Space group: P4/mmm, No. 123
D(E_F) (states/eV/cell): 1.8
Energy above the most stable polymorph in this dataset (kJ/mol of formula units): 29
Magnetic moment (μB per cell): 2.0
E_form (uncorrected) (eV/atom): 0.5007
Volume (Å³/cell): 110.24


No. 4
MgInSN2 | PBE | optimized geometry

Cell: 4.1813 4.1813 5.4567 Å, 90.00 90.00 90.00°
Atoms (fractional coordinates):
Mg1 0.0000 0.0000 0.0000
In1 0.5000 0.5000 0.5000
S1 0.5000 0.5000 0.0000
N1 0.0000 0.5000 0.5000
N2 0.5000 0.0000 0.5000

Summary:
Space group: P4/mmm, No. 123
D(E_F) (states/eV/cell): 2.0
Energy above the most stable polymorph in this dataset (kJ/mol of formula units): 9
Magnetic moment (μB per cell): 3.0
E_form (uncorrected) (eV/atom): 1.0015
Volume (Å³/cell): 95.40


Among the records above, which one has the lowest D(E_F)? MgIn2ReN4


What is the formula in the first record? Pr2MgInN


Which of these has the lowest E_form (uncorrected)? Pr2MgInN


What is the magnetic moment in the second record? 0.0 μB per cell